! Cu2NiO, optimized geometry, DFT PBE with a Hubbard U; values from VASP
! Symmetry: No. 122
! E_tot: -3.789 eV/atom
! Spin magnetization: 0.8 μB per formula unit
&SYSTEM
  ibrav = 0, nat = 8, ntyp = 3
/
ATOMIC_SPECIES
Cu 63.55 Cu.upf
Ni 58.69 Ni.upf
O 16.00 O.upf
CELL_PARAMETERS angstrom
-3.284 3.284 2.156
3.284 -3.284 2.156
3.284 3.284 -2.156
ATOMIC_POSITIONS crystal
Cu 0.041 0.125 0.416
Cu 0.375 0.959 0.084
Cu 0.709 0.625 0.584
Cu 0.875 0.291 0.916
Ni 0.250 0.750 0.500
Ni 0.500 0.500 0.000
O 0.000 0.000 0.000
O 0.750 0.250 0.500